K4Rb2S after structural relaxation, computed with GGA-PBE.

Unit cell a=4.7336 b=8.6261 c=12.6354 alpha=110.06 beta=90.00 gamma=90.00
Atoms (fractional coordinates):
K  0.5000  0.1579  0.9287
K  0.0000  0.8004  0.6713
K  0.5000  0.6992  0.9285
K  0.0000  0.0567  0.1859
Rb  0.5000  0.2374  0.5457
Rb  0.5000  0.6197  0.3115
S  0.0000  0.9285  0.9286

The offset from the most stable computed form comes out at 0.004 eV per atom. Its electronic total energy is -1.88 eV/atom.